VASP calculation (PBE) on CaHfMg after structural relaxation.

Output
Energy above the most stable polymorph in this dataset in eV/atom: 0.000
N(E_F) in states/eV per cell: 3.9
SG: Pmmn
Formation energy in eV per atom: 0.173

a = 3.3532 Å, b = 4.4224 Å, c = 11.7710 Å
α = 112.06°, β = 90.00°, γ = 90.00°
With the nearest neighbours (Å) after each atom.
Fractional positions:
1 Ca 0.1769 0.1638 0.7984  5 Hf 3.33-3.47, 2 Ca 3.35, 5 Mg 3.40-3.53
2 Ca 0.6769 0.1676 0.3020  5 Hf 3.33-3.47, 2 Ca 3.35, 5 Mg 3.40-3.52
3 Hf 0.6768 0.4731 0.6076  6 Hf 3.04-3.35, 1 Ca 3.33
4 Mg 0.1772 0.4873 0.1216  6 Mg 3.18-3.35, 5 Ca 3.40-3.53
5 Mg 0.6773 0.8444 0.9789  6 Mg 3.18-3.35, 5 Ca 3.40-3.52
6 Hf 0.1768 0.8582 0.4927  6 Hf 3.04-3.35, 1 Ca 3.33



VASP calculation (PBE) on UMn2Zn after structural relaxation.

Output
N(E_F) in states/eV per cell: 4.5
SG: P4/mmm
Formation energy in eV per atom: 0.191

a = 3.1986 Å, b = 3.1986 Å, c = 5.8717 Å
α = 90.00°, β = 90.00°, γ = 90.00°
With the nearest neighbours (Å) after each atom.
Fractional positions:
1 Mn 0.0000 0.0000 0.7245  4 U 2.62, 1 Mn 2.64, 4 Zn 2.78
2 U 0.5000 0.5000 0.5000  8 Mn 2.62
3 Mn 0.0000 0.0000 0.2755  4 U 2.62, 1 Mn 2.64, 4 Zn 2.78
4 Zn 0.5000 0.5000 0.0000  8 Mn 2.78, 2 U 2.94



VASP calculation (PBE) on TcHg2Te2 after structural relaxation.

Output
N(E_F) in states/eV per cell: 4.5
Uncorrected formation energy in eV/f.u.: 4.0
SG: I4/mmm

a = 5.8642 Å, b = 5.8642 Å, c = 5.8642 Å
α = 120.68°, β = 120.68°, γ = 88.83°
With the nearest neighbours (Å) after each atom.
Fractional positions:
1 Hg 0.6623 0.6623 0.0000  1 Hg 2.72, 1 Tc 2.83, 4 Te 2.99
2 Tc 0.0000 0.0000 0.0000  2 Hg 2.83
3 Hg 0.3377 0.3377 0.0000  1 Hg 2.72, 1 Tc 2.83, 4 Te 2.99
4 Te 0.7500 0.2500 0.5000  4 Hg 2.99
5 Te 0.2500 0.7500 0.5000  4 Hg 2.99



VASP calculation (PBE) on LiY2CoP after structural relaxation.

Output
N(E_F) in states/eV per cell: 4.0
SG: P4/mmm
Formation energy in eV per atom: -0.338

a = 5.3525 Å, b = 4.1232 Å, c = 5.3525 Å
α = 90.00°, β = 90.00°, γ = 90.00°
With the nearest neighbours (Å) after each atom.
Fractional positions:
1 Y 0.5000 0.0000 0.0000  2 P 2.68
2 Li 0.5000 0.5000 0.5000  8 Y 3.38
3 P 0.0000 0.0000 0.0000  2 Co 2.06
4 Y 0.0000 0.0000 0.5000  2 P 2.68
5 Co 0.0000 0.5000 0.0000  2 P 2.06



VASP calculation (PBE) on Gd2TlBi after structural relaxation.

Output
Energy above the most stable polymorph in this dataset in eV/atom: 0.083
N(E_F) in states/eV per cell: 5.4
SG: Fm-3m
Formation energy in eV per atom: -0.480

a = 5.4831 Å, b = 5.4831 Å, c = 5.4831 Å
α = 60.00°, β = 60.00°, γ = 60.00°
With the nearest neighbours (Å) after each atom.
Fractional positions:
1 Gd 0.2500 0.2500 0.2500  4 Tl 3.36, 4 Bi 3.36
2 Gd 0.7500 0.7500 0.7500  4 Tl 3.36, 4 Bi 3.36
3 Tl 0.5000 0.5000 0.5000  8 Gd 3.36
4 Bi 0.0000 0.0000 0.0000  8 Gd 3.36



VASP calculation (PBE) on Sr3Ca6Ac after structural relaxation.

Output
N(E_F) in states/eV per cell: 25.5
SG: P2_1/m
Formation energy in eV per atom: 0.070

a = 3.9196 Å, b = 13.2218 Å, c = 22.0026 Å
α = 125.65°, β = 90.00°, γ = 90.00°
With the nearest neighbours (Å) after each atom.
Fractional positions:
1 Ca 0.7500 0.3287 0.7565  7 Ca 3.92-4.10, 2 Ac 4.00, 3 Sr 4.08-4.19
2 Ac 0.7500 0.7890 0.1370  8 Ca 3.84-4.00, 2 Ac 3.92, 1 Sr 4.04
3 Ca 0.7500 0.0039 0.3515  1 Ac 3.84, 4 Sr 3.91-4.09, 6 Ca 3.92-4.08
4 Ca 0.7500 0.4364 0.0509  3 Ac 3.88-3.93, 9 Ca 3.90-4.01
5 Ca 0.2500 0.2931 0.1370  3 Sr 3.84-4.14, 8 Ca 3.86-4.10
6 Sr 0.7500 0.1624 0.2444  4 Sr 3.92-4.17, 7 Ca 3.96-4.17, 1 Ac 4.04
7 Ca 0.2500 0.9297 0.0460  8 Ca 3.86-3.99, 2 Ac 3.96, 2 Sr 4.09
8 Sr 0.7500 0.8343 0.4491  6 Ca 3.91-4.19, 6 Sr 3.92-4.08
9 Ac 0.2500 0.2110 0.8630  8 Ca 3.84-4.00, 2 Ac 3.92, 1 Sr 4.04
10 Sr 0.2500 0.1657 0.5509  6 Ca 3.91-4.19, 6 Sr 3.92-4.08
11 Sr 0.7500 0.4956 0.6482  5 Ca 3.84-4.09, 6 Sr 3.92-4.17
12 Ca 0.7500 0.0703 0.9540  8 Ca 3.86-3.99, 2 Ac 3.96, 2 Sr 4.09
13 Ca 0.2500 0.6713 0.2435  7 Ca 3.92-4.10, 2 Ac 4.00, 3 Sr 4.08-4.19
14 Ca 0.2500 0.5636 0.9491  3 Ac 3.88-3.93, 9 Ca 3.90-4.01
15 Sr 0.2500 0.5044 0.3518  5 Ca 3.84-4.09, 6 Sr 3.92-4.17
16 Ca 0.2500 0.9961 0.6485  1 Ac 3.84, 4 Sr 3.91-4.09, 6 Ca 3.92-4.08
17 Sr 0.2500 0.8376 0.7556  4 Sr 3.92-4.17, 7 Ca 3.96-4.17, 1 Ac 4.04
18 Ca 0.2500 0.3335 0.4491  6 Sr 3.91-4.17, 6 Ca 3.92-4.09
19 Ca 0.7500 0.7069 0.8630  3 Sr 3.84-4.14, 8 Ca 3.86-4.10
20 Ca 0.7500 0.6665 0.5509  6 Sr 3.91-4.17, 6 Ca 3.92-4.09



VASP calculation (PBE) on BeHg2Cl after structural relaxation.

Output
Energy above the most stable polymorph in this dataset in eV/atom: 0.289
N(E_F) in states/eV per cell: 1.2
Uncorrected formation energy in eV/f.u.: 0.4
SG: P4mm

a = 3.0258 Å, b = 3.0258 Å, c = 10.1167 Å
α = 90.00°, β = 90.00°, γ = 90.00°
With the nearest neighbours (Å) after each atom.
Fractional positions:
1 Hg 0.0000 0.0000 0.0267  4 Hg 3.03
2 Cl 0.5000 0.5000 0.6332  4 Be 2.43
3 Hg 0.5000 0.5000 0.3209  4 Be 2.93, 4 Hg 3.03, 1 Cl 3.16
4 Be 0.0000 0.0000 0.5192  4 Cl 2.43



VASP calculation (PBE) on NaCaGe2 after structural relaxation.

Output
Energy above the most stable polymorph in this dataset in eV/atom: 0.211
N(E_F) in states/eV per cell: 2.6
SG: Fm-3m
Formation energy in eV per atom: -0.192

a = 5.0746 Å, b = 5.0746 Å, c = 5.0746 Å
α = 60.00°, β = 60.00°, γ = 60.00°
With the nearest neighbours (Å) after each atom.
Fractional positions:
1 Ge 0.7500 0.7500 0.7500  4 Na 3.11, 4 Ca 3.11
2 Ca 0.5000 0.5000 0.5000  8 Ge 3.11
3 Ge 0.2500 0.2500 0.2500  4 Na 3.11, 4 Ca 3.11
4 Na 0.0000 0.0000 0.0000  8 Ge 3.11



VASP calculation (PBE) on Zr2NbIn2 after structural relaxation.

Output
Energy above the most stable polymorph in this dataset in eV/atom: 0.098
N(E_F) in states/eV per cell: 10.4
SG: P4/mbm
Formation energy in eV per atom: -0.037

a = 7.5665 Å, b = 7.5665 Å, c = 3.8637 Å
α = 90.00°, β = 90.00°, γ = 90.00°
With the nearest neighbours (Å) after each atom.
Fractional positions:
1 Zr 0.1744 0.6744 0.5000  6 In 2.84-3.03
2 Zr 0.8256 0.3256 0.5000  6 In 2.84-3.03
3 In 0.1309 0.3691 0.0000  1 In 2.80, 6 Zr 2.84-3.03, 2 Nb 2.96
4 In 0.3691 0.8691 0.0000  1 In 2.80, 6 Zr 2.84-3.03, 2 Nb 2.96
5 In 0.8691 0.6309 0.0000  1 In 2.80, 6 Zr 2.84-3.03, 2 Nb 2.96
6 Nb 0.0000 0.0000 0.0000  4 In 2.96
7 Zr 0.3256 0.1744 0.5000  6 In 2.84-3.03
8 Zr 0.6744 0.8256 0.5000  6 In 2.84-3.03
9 Nb 0.5000 0.5000 0.0000  4 In 2.96
10 In 0.6309 0.1309 0.0000  1 In 2.80, 6 Zr 2.84-3.03, 2 Nb 2.96



VASP calculation (PBE) on Co3PRh after structural relaxation.

Output
Energy above the most stable polymorph in this dataset in eV/atom: 0.000
N(E_F) in states/eV per cell: 10.4
SG: Pm-3m
Formation energy in eV per atom: 0.405

a = 4.1066 Å, b = 4.1066 Å, c = 4.1066 Å
α = 90.00°, β = 90.00°, γ = 90.00°
With the nearest neighbours (Å) after each atom.
Fractional positions:
1 Co 0.0000 0.5000 0.0000  2 P 2.05
2 Co 0.5000 0.0000 0.0000  2 P 2.05
3 P 0.0000 0.0000 0.0000  6 Co 2.05
4 Co 0.0000 0.0000 0.5000  2 P 2.05
5 Rh 0.5000 0.5000 0.5000  12 Co 2.90



VASP calculation (PBE) on TlZnCu2 after structural relaxation.

Output
Energy above the most stable polymorph in this dataset in eV/atom: 0.062
N(E_F) in states/eV per cell: 1.3
SG: C2/m
Formation energy in eV per atom: 0.222

a = 4.5811 Å, b = 4.5811 Å, c = 5.1351 Å
α = 77.34°, β = 77.34°, γ = 40.39°
With the nearest neighbours (Å) after each atom.
Fractional positions:
1 Tl 0.2500 0.2500 0.2500  6 Cu 2.88-2.91, 4 Zn 3.02, 2 Tl 3.16
2 Cu 0.0120 0.0120 0.9389  2 Cu 2.55, 3 Zn 2.59-2.65
3 Cu 0.4880 0.4880 0.5611  2 Cu 2.55, 3 Zn 2.59-2.65
4 Zn 0.7500 0.7500 0.7500  6 Cu 2.59-2.65



VASP calculation (PBE) on LiCd2Te after structural relaxation.

Output
N(E_F) in states/eV per cell: 3.3
Uncorrected formation energy in eV/f.u.: -0.2
SG: R-3m

a = 9.7919 Å, b = 9.7919 Å, c = 9.7919 Å
α = 20.28°, β = 20.28°, γ = 20.28°
With the nearest neighbours (Å) after each atom.
Fractional positions:
1 Cd 0.9913 0.9913 0.9913  3 Li 2.93
2 Te 0.7500 0.7500 0.7500  6 Cd 3.31, 6 Te 3.45
3 Li 0.2500 0.2500 0.2500  6 Cd 2.93
4 Cd 0.5087 0.5087 0.5087  3 Li 2.93



VASP calculation (PBE) on Sr4C after structural relaxation.

Output
Energy above the most stable polymorph in this dataset in eV/atom: 0.004
N(E_F) in states/eV per cell: 5.4
SG: Pm-3m
Formation energy in eV per atom: 0.393

a = 5.7501 Å, b = 5.7501 Å, c = 5.7501 Å
α = 90.00°, β = 90.00°, γ = 90.00°
With the nearest neighbours (Å) after each atom.
Fractional positions:
1 C 0.5000 0.5000 0.5000  6 Sr 2.88
2 Sr 0.5000 0.0000 0.5000  2 C 2.88
3 Sr 0.0000 0.5000 0.5000  2 C 2.88
4 Sr 0.5000 0.5000 0.0000  2 C 2.88
5 Sr 0.0000 0.0000 0.0000  12 Sr 4.07



VASP calculation (PBE) on Rb4Ce3BeS8 after structural relaxation.

Output
N(E_F) in states/eV per cell: 13.0
Uncorrected formation energy in eV/f.u.: -23.3
SG: C2/m

a = 8.0716 Å, b = 8.9876 Å, c = 8.3251 Å
α = 117.16°, β = 119.00°, γ = 90.00°
With the nearest neighbours (Å) after each atom.
Fractional positions:
1 Rb 0.5000 0.0000 0.0000  2 S 3.16
2 Rb 0.0000 0.0000 0.5000  6 S 3.26-3.50
3 Be 0.0000 0.5000 0.0000  4 S 2.42
4 S 0.7635 0.6677 0.9593  1 Be 2.42
5 S 0.7291 0.6984 0.4582  3 Ce 2.81-2.85
6 Ce 0.0000 0.5000 0.5000  6 S 2.76-2.88
7 Ce 0.5000 0.5000 0.0000  6 S 2.84-2.85
8 S 0.2709 0.3016 0.5418  3 Ce 2.81-2.85
9 Ce 0.5000 0.5000 0.5000  6 S 2.76-2.88
10 S 0.1959 0.6677 0.9593  1 Be 2.42
11 S 0.2365 0.3323 0.0407  1 Be 2.42
12 S 0.8041 0.3323 0.0407  1 Be 2.42
13 Rb 0.5000 0.0000 0.5000  6 S 3.26-3.50
14 S 0.7476 0.2887 0.4952  2 Ce 2.76
15 Rb 0.0000 0.0000 0.0000  6 S 3.34-3.43
16 S 0.2524 0.7113 0.5048  2 Ce 2.76



VASP calculation (PBE) on CsAlInSb2 after structural relaxation.

Output
N(E_F) in states/eV per cell: 1.9
Uncorrected formation energy in eV/f.u.: -1.1
SG: C2/m

a = 4.5458 Å, b = 8.2942 Å, c = 10.7561 Å
α = 76.58°, β = 77.80°, γ = 74.10°
With the nearest neighbours (Å) after each atom.
Fractional positions:
1 Sb 0.5651 0.1989 0.6710  2 Al 2.76, 1 In 3.04
2 Cs 0.8269 0.7041 0.6422  5 Sb 3.96-4.10, 2 In 3.99
3 Sb 0.1381 0.7696 0.9542  2 Al 2.76-2.84, 2 In 2.94
4 In 0.6439 0.6065 0.1057  4 Sb 2.94-3.18
5 Sb 0.8619 0.2304 0.0458  2 Al 2.76-2.84, 2 In 2.94
6 Al 0.9552 0.9027 0.1868  4 Sb 2.76-2.84
7 Al 0.0448 0.0973 0.8132  4 Sb 2.76-2.84
8 Cs 0.1731 0.2959 0.3578  5 Sb 3.96-4.10, 2 In 3.99
9 Sb 0.4349 0.8011 0.3290  2 Al 2.76, 1 In 3.04
10 In 0.3561 0.3935 0.8943  4 Sb 2.94-3.18



VASP calculation (PBE) on Zn2PtI8 after structural relaxation.

Output
Uncorrected formation energy in eV/f.u.: -3.7
SG: C2/m

a = 7.0149 Å, b = 8.5555 Å, c = 8.5555 Å
α = 78.96°, β = 81.40°, γ = 81.40°
With the nearest neighbours (Å) after each atom.
Fractional positions:
1 I 0.2736 0.8180 0.8180  1 Zn 2.69, 1 Pt 2.77
2 Zn 0.6604 0.8095 0.8095  4 I 2.53-2.69
3 Pt 0.0000 0.0000 0.0000  6 I 2.70-2.77
4 Zn 0.3396 0.1905 0.1905  4 I 2.53-2.69
5 I 0.2766 0.3857 0.3857  1 Zn 2.53
6 I 0.1987 0.2563 0.9081  1 Zn 2.68, 1 Pt 2.70
7 I 0.1987 0.9081 0.2563  1 Zn 2.68, 1 Pt 2.70
8 I 0.8013 0.0919 0.7437  1 Zn 2.68, 1 Pt 2.70
9 I 0.7264 0.1820 0.1820  1 Zn 2.69, 1 Pt 2.77
10 I 0.8013 0.7437 0.0919  1 Zn 2.68, 1 Pt 2.70
11 I 0.7234 0.6143 0.6143  1 Zn 2.53



VASP calculation (PBE) on BaLi3S4O12 after structural relaxation.

Output
N(E_F) in states/eV per cell: 7.0
Uncorrected formation energy in eV/f.u.: -24.8
SG: R32

a = 6.6801 Å, b = 6.6801 Å, c = 6.6801 Å
α = 104.76°, β = 104.76°, γ = 104.76°
With the nearest neighbours (Å) after each atom.
Fractional positions:
1 S 0.5000 0.8901 0.1099  3 O 1.52-1.59
2 Li 0.0000 0.5730 0.4270  2 O 1.97
3 Li 0.4270 0.0000 0.5730  2 O 1.97
4 O 0.0286 0.6335 0.7398  1 S 1.59
5 S 0.1099 0.5000 0.8901  3 O 1.52-1.59
6 O 0.2602 0.3665 0.9714  1 S 1.59
7 O 0.7398 0.0286 0.6335  1 S 1.59
8 O 0.5000 0.0336 0.9664  1 S 1.52
9 Ba 0.0000 0.0000 0.0000  6 O 2.70
10 O 0.3638 0.6362 0.5000  1 S 1.44
11 S 0.8901 0.1099 0.5000  3 O 1.52-1.59
12 O 0.6362 0.5000 0.3638  1 S 1.44
13 O 0.5000 0.3638 0.6362  1 S 1.44
14 O 0.0336 0.9664 0.5000  1 S 1.52
15 O 0.9714 0.2602 0.3665  1 S 1.59
16 O 0.9664 0.5000 0.0336  1 S 1.52
17 O 0.6335 0.7398 0.0286  1 S 1.59
18 O 0.3665 0.9714 0.2602  1 S 1.59
19 Li 0.5730 0.4270 0.0000  2 O 1.97
20 S 0.5000 0.5000 0.5000  3 O 1.44



VASP calculation (PBE) on AcHoHfN3 after structural relaxation.

Output
N(E_F) in states/eV per cell: 3.5
Uncorrected formation energy in eV/f.u.: -7.5
SG: P2_1/m

a = 3.4641 Å, b = 6.7347 Å, c = 9.9855 Å
α = 97.16°, β = 90.00°, γ = 90.00°
With the nearest neighbours (Å) after each atom.
Fractional positions:
1 N 0.2500 0.8473 0.5334  3 Hf 2.11-2.14
2 Ac 0.2500 0.1963 0.2302  4 N 2.55-2.77
3 Ho 0.7500 0.3448 0.8855  5 N 2.24-2.48
4 N 0.7500 0.3905 0.1114  3 Ho 2.24-2.48
5 N 0.2500 0.1267 0.7904  1 Hf 2.07
6 N 0.7500 0.8733 0.2096  1 Hf 2.07
7 N 0.7500 0.1527 0.4666  3 Hf 2.11-2.14
8 Hf 0.2500 0.1647 0.5879  4 N 2.07-2.14
9 Ac 0.7500 0.8037 0.7698  4 N 2.55-2.77
10 Hf 0.7500 0.8353 0.4121  4 N 2.07-2.14
11 N 0.2500 0.6095 0.8886  3 Ho 2.24-2.48
12 Ho 0.2500 0.6552 0.1145  5 N 2.24-2.48



VASP calculation (PBE) on LiNpSe2O8 after structural relaxation.

Output
N(E_F) in states/eV per cell: 0.2
Uncorrected formation energy in eV/f.u.: -16.4
SG: P-3m1

a = 6.2310 Å, b = 6.2310 Å, c = 5.7640 Å
α = 90.00°, β = 90.00°, γ = 120.00°
With the nearest neighbours (Å) after each atom.
Fractional positions:
1 Se 0.3333 0.6667 0.8093  1 O 1.63
2 O 0.6667 0.3333 0.9087  1 Se 1.63
3 O 0.7089 0.8542 0.7762  1 Np 2.03, 1 Se 2.04, 1 Li 2.24
4 Li 0.0000 0.0000 0.5000  6 O 2.24
5 O 0.2911 0.1458 0.2238  1 Np 2.03, 1 Se 2.04, 1 Li 2.24
6 O 0.1458 0.8547 0.7762  1 Np 2.03, 1 Se 2.04, 1 Li 2.24
7 O 0.1453 0.2911 0.7762  1 Np 2.03, 1 Se 2.04, 1 Li 2.24
8 O 0.8547 0.7089 0.2238  1 Np 2.03, 1 Se 2.04, 1 Li 2.24
9 O 0.8542 0.1453 0.2238  1 Np 2.03, 1 Se 2.04, 1 Li 2.24
10 Se 0.6667 0.3333 0.1907  1 O 1.63
11 O 0.3333 0.6667 0.0913  1 Se 1.63
12 Np 0.0000 0.0000 0.0000  6 O 2.03



VASP calculation (PBE) on Ca2LaCo2 after structural relaxation.

Output
Energy above the most stable polymorph in this dataset in eV/atom: 0.000
N(E_F) in states/eV per cell: 6.9
SG: P4/mbm
Formation energy in eV per atom: 0.144

a = 7.0408 Å, b = 7.0408 Å, c = 4.7611 Å
α = 90.00°, β = 90.00°, γ = 90.00°
With the nearest neighbours (Å) after each atom.
Fractional positions:
1 Co 0.6126 0.1126 0.0000  1 Co 2.24
2 Co 0.8874 0.6126 0.0000  1 Co 2.24
3 Co 0.1126 0.3874 0.0000  1 Co 2.24
4 La 0.5000 0.5000 0.0000  4 Co 2.84
5 Ca 0.6653 0.8347 0.5000  6 Co 3.10-3.25, 1 Ca 3.29
6 Ca 0.3347 0.1653 0.5000  6 Co 3.10-3.25, 1 Ca 3.29
7 La 0.0000 0.0000 0.0000  4 Co 2.84
8 Co 0.3874 0.8874 0.0000  1 Co 2.24
9 Ca 0.1653 0.6653 0.5000  6 Co 3.10-3.25, 1 Ca 3.29
10 Ca 0.8347 0.3347 0.5000  6 Co 3.10-3.25, 1 Ca 3.29



Number 1: final energy -26.1 eV/cell. Number 2: final energy -30.1 eV/cell. Number 3: final energy -13.3 eV/cell. Number 4: final energy -29.0 eV/cell. Number 5: final energy -36.3 eV/cell. Number 6: final energy -40.9 eV/cell. Number 7: final energy -5.8 eV/cell. Number 8: final energy -13.3 eV/cell. Number 9: final energy -65.7 eV/cell. Number 10: final energy -32.1 eV/cell. Number 11: final energy -10.9 eV/cell. Number 12: final energy -7.1 eV/cell. Number 13: final energy -14.0 eV/cell. Number 14: final energy -81.7 eV/cell. Number 15: final energy -33.4 eV/cell. Number 16: final energy -24.6 eV/cell. Number 17: final energy -108.5 eV/cell. Number 18: final energy -102.2 eV/cell. Number 19: final energy -77.9 eV/cell. Number 20: final energy -44.8 eV/cell.